1.
MnRuSCl2: PBEsol geometry, SCAN.

Crystal system ... tetragonal
Energy relative to the elements, uncorrected ... -0.084 eV/atom

POSCAR file:
```
MnRuSCl2
1.0
4.7547 0.0000 0.0000
0.0000 4.7547 0.0000
0.0000 0.0000 4.4410
Mn Ru S Cl
1 1 1 2
direct
0.0000 0.0000 0.0000 Mn
0.5000 0.5000 0.5000 Ru
0.5000 0.5000 0.0000 S
0.0000 0.5000 0.5000 Cl
0.5000 0.0000 0.5000 Cl
```

***

2.
Rb2PtCl6: PBEsol geometry, SCAN.

Crystal system ... cubic
Energy relative to the elements, uncorrected ... -1.431 eV/atom

POSCAR file:
```
Rb2PtCl6
1.0
0.0000 4.9335 4.9335
4.9335 0.0000 4.9335
4.9335 4.9335 0.0000
Rb Pt Cl
2 1 6
direct
0.2500 0.2500 0.2500 Rb
0.7500 0.7500 0.7500 Rb
0.0000 0.0000 0.0000 Pt
0.2350 0.2350 0.7650 Cl
0.2350 0.7650 0.2350 Cl
0.2350 0.7650 0.7650 Cl
0.7650 0.2350 0.2350 Cl
0.7650 0.2350 0.7650 Cl
0.7650 0.7650 0.2350 Cl
```

***

3.
Ni2PCl: PBEsol geometry, SCAN.

Crystal system ... tetragonal
Energy relative to the lowest polymorph listed for this composition ... 0 meV/atom
Energy relative to the elements, uncorrected ... 0.079 eV/atom

POSCAR file:
```
Ni2PCl
1.0
2.8972 0.0000 0.0000
0.0000 2.8972 0.0000
0.0000 0.0000 6.1243
Ni P Cl
2 1 1
direct
0.0000 0.0000 0.1991 Ni
0.0000 0.0000 0.8009 Ni
0.5000 0.5000 0.0000 P
0.5000 0.5000 0.5000 Cl
```

***

4.
ZrH2Rh: PBEsol geometry, SCAN.

Crystal system ... cubic

POSCAR file:
```
ZrH2Rh
1.0
0.0000 2.7136 2.7136
2.7136 0.0000 2.7136
2.7136 2.7136 0.0000
Zr H Rh
1 2 1
direct
0.0000 0.0000 0.0000 Zr
0.2500 0.2500 0.2500 H
0.7500 0.7500 0.7500 H
0.5000 0.5000 0.5000 Rh
```

***

5.
InTcPS2: PBEsol geometry, SCAN.

Crystal system ... tetragonal
Energy relative to the elements, uncorrected ... 0.203 eV/atom

POSCAR file:
```
InTcPS2
1.0
4.6033 0.0000 0.0000
0.0000 4.6033 0.0000
0.0000 0.0000 4.6695
In Tc P S
1 1 1 2
direct
0.0000 0.0000 0.0000 In
0.5000 0.5000 0.5000 Tc
0.5000 0.5000 0.0000 P
0.0000 0.5000 0.5000 S
0.5000 0.0000 0.5000 S
```

***

6.
PPb2Cl: PBEsol geometry, SCAN.

Crystal system ... monoclinic
Energy relative to the lowest polymorph listed for this composition ... 169 meV/atom
Energy relative to the elements, uncorrected ... -0.284 eV/atom

POSCAR file:
```
PPb2Cl
1.0
7.5143 -1.8845 0.0000
7.5143 1.8845 0.0000
-1.0273 0.0000 3.8022
P Pb Cl
1 2 1
direct
0.0000 0.0000 0.0000 P
0.4232 0.4232 0.4243 Pb
0.6436 0.6436 0.1429 Pb
0.2462 0.2462 0.7458 Cl
```

***

7.
Zn2FeAs: PBEsol geometry, SCAN.

Crystal system ... orthorhombic
Formation enthalpy at 0 K ... 0.13 eV per atom

POSCAR file:
```
Zn2FeAs
1.0
4.2358 0.0000 0.0000
0.0000 1.3602 4.9737
0.0000 -1.3602 4.9737
Zn Fe As
2 1 1
direct
0.0000 0.0000 0.0000 Zn
0.5000 0.1312 0.1312 Zn
0.5000 0.4071 0.4071 Fe
0.0000 0.2775 0.2775 As
```

***

8.
CaSb2P: PBEsol geometry, SCAN.

Crystal system ... tetragonal
Energy relative to the elements, uncorrected ... -0.519 eV/atom

POSCAR file:
```
CaSb2P
1.0
4.0795 0.0000 0.0000
0.0000 4.0795 0.0000
0.0000 0.0000 6.5618
Ca Sb P
1 2 1
direct
0.0000 0.0000 0.0000 Ca
0.0000 0.0000 0.4939 Sb
0.5000 0.5000 0.6401 Sb
0.5000 0.5000 0.0167 P
```

***

9.
MnBe3: PBEsol geometry, SCAN.

Crystal system ... orthorhombic
Formation enthalpy at 0 K ... 0.05 eV per atom

POSCAR file:
```
MnBe3
1.0
2.2972 0.0000 0.0000
0.0000 3.1396 0.0000
0.0000 0.0000 4.7174
Mn Be
1 3
direct
0.0000 0.0000 0.0000 Mn
0.0000 0.0000 0.5000 Be
0.5000 0.5000 0.2547 Be
0.5000 0.5000 0.7453 Be
```

***

10.
MgCrHg2: PBEsol geometry, SCAN.

Crystal system ... trigonal
Formation enthalpy at 0 K ... 0.02 eV per atom

POSCAR file:
```
MgCrHg2
1.0
1.6087 0.9288 8.8941
-1.6087 0.9288 8.8941
0.0000 -1.8576 8.8941
Mg Cr Hg
1 1 2
direct
0.0000 0.0000 0.0000 Mg
0.5000 0.5000 0.5000 Cr
0.2471 0.2471 0.2471 Hg
0.7529 0.7529 0.7529 Hg
```

***

11.
CoNi2Rh: PBEsol geometry, SCAN.

Crystal system ... monoclinic
Energy relative to the lowest polymorph listed for this composition ... 52 meV/atom
Formation enthalpy at 0 K ... 0.04 eV per atom

POSCAR file:
```
CoNi2Rh
1.0
4.1769 -1.2738 0.0000
4.1769 1.2738 0.0000
-0.8021 0.0000 4.2598
Co Ni Rh
1 2 1
direct
0.0000 0.0000 0.0000 Co
0.2525 0.2525 0.7581 Ni
0.7475 0.7475 0.2419 Ni
0.5000 0.5000 0.5000 Rh
```

***

12.
LiMg2Ru: PBEsol geometry, SCAN.

Crystal system ... tetragonal
Formation enthalpy at 0 K ... 0.00 eV per atom

POSCAR file:
```
LiMg2Ru
1.0
3.1892 0.0000 0.0000
0.0000 3.1892 0.0000
0.0000 0.0000 6.5906
Li Mg Ru
1 2 1
direct
0.0000 0.0000 0.0000 Li
0.5000 0.5000 0.2802 Mg
0.5000 0.5000 0.7198 Mg
0.0000 0.0000 0.5000 Ru
```

***

13.
ZrGe3Os: PBEsol geometry, SCAN.

Crystal system ... cubic
Formation enthalpy at 0 K ... 1.68 eV per atom

POSCAR file:
```
ZrGe3Os
1.0
4.9734 0.0000 0.0000
0.0000 4.9734 0.0000
0.0000 0.0000 4.9734
Zr Ge Os
1 3 1
direct
0.0000 0.0000 0.0000 Zr
0.0000 0.0000 0.5000 Ge
0.0000 0.5000 0.0000 Ge
0.5000 0.0000 0.0000 Ge
0.5000 0.5000 0.5000 Os
```

***

14.
NiOsCl2: PBEsol geometry, SCAN.

Crystal system ... trigonal
Energy relative to the lowest polymorph listed for this composition ... 404 meV/atom
Energy relative to the elements, uncorrected ... 0.853 eV/atom

POSCAR file:
```
NiOsCl2
1.0
1.4661 0.8464 7.3614
-1.4661 0.8464 7.3614
0.0000 -1.6929 7.3614
Ni Os Cl
1 1 2
direct
0.0000 0.0000 0.0000 Ni
0.5000 0.5000 0.5000 Os
0.2589 0.2589 0.2589 Cl
0.7411 0.7411 0.7411 Cl
```

***

15.
AuSeClO3: PBEsol geometry, SCAN.

Crystal system ... triclinic
Energy relative to the elements, uncorrected ... -0.570 eV/atom

POSCAR file:
```
AuSeClO3
1.0
4.2815 0.0000 0.0000
0.2593 9.7471 0.0000
0.0514 1.3558 10.6837
Au Se Cl O
4 4 4 12
direct
0.0000 0.0000 0.0000 Au
0.0000 0.0000 0.5000 Au
0.0127 0.5855 0.1831 Au
0.9873 0.4145 0.8169 Au
0.2133 0.7110 0.9036 Se
0.2961 0.1296 0.7339 Se
0.7039 0.8704 0.2661 Se
0.7867 0.2890 0.0964 Se
0.2836 0.1947 0.4577 Cl
0.3418 0.4897 0.6702 Cl
0.6582 0.5103 0.3298 Cl
0.7164 0.8053 0.5423 Cl
0.0379 0.7699 0.2427 O
0.0788 0.4023 0.1247 O
0.0850 0.9967 0.6816 O
0.0907 0.1726 0.0707 O
0.3387 0.6513 0.0537 O
0.3583 0.0421 0.8830 O
0.6417 0.9579 0.1170 O
0.6613 0.3487 0.9463 O
0.9093 0.8274 0.9293 O
0.9150 0.0033 0.3184 O
0.9212 0.5977 0.8753 O
0.9621 0.2301 0.7573 O
```

***

16.
CaAg8: PBEsol geometry, SCAN.

Crystal system ... tetragonal
Formation enthalpy at 0 K ... -0.05 eV per atom

POSCAR file:
```
CaAg8
1.0
-4.3503 4.3503 2.1022
4.3503 -4.3503 2.1022
4.3503 4.3503 -2.1022
Ca Ag
1 8
direct
0.0000 0.0000 0.0000 Ca
0.0000 0.3387 0.3387 Ag
0.0000 0.6613 0.6613 Ag
0.3272 0.3272 0.6544 Ag
0.3272 0.6728 0.0000 Ag
0.3387 0.0000 0.3387 Ag
0.6613 0.0000 0.6613 Ag
0.6728 0.3272 0.0000 Ag
0.6728 0.6728 0.3456 Ag
```

***

17.
CrReOs: PBEsol geometry, SCAN.

Crystal system ... tetragonal
Energy relative to the lowest polymorph listed for this composition ... 0 meV/atom
Formation enthalpy at 0 K ... 0.17 eV per atom

POSCAR file:
```
CrReOs
1.0
-1.4817 1.4817 4.5860
1.4817 -1.4817 4.5860
1.4817 1.4817 -4.5860
Cr Re Os
1 1 1
direct
0.0000 0.0000 0.0000 Cr
0.3569 0.3569 0.0000 Re
0.6698 0.6698 0.0000 Os
```

***

18.
AgPRuS2: PBEsol geometry, SCAN.

Crystal system ... tetragonal
Energy relative to the elements, uncorrected ... 0.584 eV/atom

POSCAR file:
```
AgPRuS2
1.0
4.6765 0.0000 0.0000
0.0000 4.6765 0.0000
0.0000 0.0000 4.3662
Ag P Ru S
1 1 1 2
direct
0.0000 0.0000 0.0000 Ag
0.5000 0.5000 0.0000 P
0.5000 0.5000 0.5000 Ru
0.0000 0.5000 0.5000 S
0.5000 0.0000 0.5000 S
```

***

19.
TiOsRu2: PBEsol geometry, SCAN.

Crystal system ... cubic
Formation enthalpy at 0 K ... 0.03 eV per atom

POSCAR file:
```
TiOsRu2
1.0
0.0000 3.0432 3.0432
3.0432 0.0000 3.0432
3.0432 3.0432 0.0000
Ti Os Ru
1 1 2
direct
0.0000 0.0000 0.0000 Ti
0.5000 0.5000 0.5000 Os
0.2500 0.2500 0.2500 Ru
0.7500 0.7500 0.7500 Ru
```

***

20.
CaAg2Pb: PBEsol geometry, SCAN.

Crystal system ... orthorhombic
Formation enthalpy at 0 K ... -0.24 eV per atom

POSCAR file:
```
CaAg2Pb
1.0
3.3109 0.0000 0.0000
0.0000 4.8568 0.0000
0.0000 0.0000 5.7767
Ca Ag Pb
1 2 1
direct
0.0000 0.0000 0.0000 Ca
0.5000 0.5000 0.2364 Ag
0.5000 0.5000 0.7636 Ag
0.5000 0.0000 0.5000 Pb
```

***

Density of states at the Fermi level list, top to bottom, in states/eV per cell: 2.321 0.000 2.699 3.083 4.089 1.454 1.761 1.347 1.569 1.634 3.735 3.616 3.082 3.177 0.000 3.032 2.779 4.890 6.084 1.191
E_tot list, top to bottom, in eV/atom: -15.817 -19.158 -12.601 -17.936 -19.417 -42.769 -16.213 -24.165 -7.780 -39.903 -20.818 -11.789 -30.290 -25.150 -19.888 -29.009 -53.616 -18.586 -39.365 -37.283